Entry from Alexandria: HfIrO2F after structural relaxation (GGA-PBE).

abc: 4.1313 4.1313 4.0672
angles: 90.00 90.00 90.00
Atoms (fractional coordinates):
1 Hf 0.0000 0.0000 0.0000
2 Ir 0.5000 0.5000 0.5000
3 O 0.0000 0.5000 0.0000
4 O 0.5000 0.0000 0.0000
5 F 0.0000 0.0000 0.5000

Results
- density of states at the Fermi level (states/eV per atom) = 0.783
- uncorrected energy (eV/f.u.) = -37.493
- space-group type = P4/mmm, No. 123
- uncorrected formation energy (eV/atom) = -1.378